A geometry-optimized La2Cd2SbPO2 structure. Source: OQMD via LeMat-Bulk, functional PBE.

```
8
Lattice="-2.287 3.132 1.770 -3.593 -1.880 -1.315 -0.408 -4.820 8.002" Properties=species:S:1:pos:R:3 pbc="T T T"
Cd -1.993 -3.264 3.201
Cd -1.340 -0.758 4.744
O -1.147 1.523 0.957
O -1.800 -0.983 -0.586
La -2.994 -0.011 1.285
La -0.362 -4.283 7.111
Sb -3.223 -2.721 5.783
P -0.123 -1.458 2.421
```

* uncorrected energy: -0.2071 Ha/atom

***

A geometry-optimized HoZnAu4 structure. Source: OQMD via LeMat-Bulk, functional PBE.

```
6
Lattice="-1.434 5.315 -0.409 -3.645 1.554 -3.843 -1.693 -2.983 4.356" Properties=species:S:1:pos:R:3 pbc="T T T"
Au -2.115 2.200 -1.048
Au -2.955 0.702 1.133
Au -3.683 3.365 0.932
Au -4.790 1.483 -0.787
Zn -1.693 -2.965 4.337
Ho -4.234 4.410 -2.103
```

* uncorrected energy: -0.1291 Ha/atom
* E_form: -2.17 eV/f.u.